Entry 1:
Compound: Sr2Li12Mg3In
Source: Alexandria via LeMat-Bulk
Functional: PBE
Structure: relaxed

The structure in POSCAR format:
```
Sr2Li12Mg3In
1.0
3.104 1.792 13.762
-3.104 1.792 13.762
0.000 -3.584 13.762
Sr Li Mg In
2 12 3 1
Direct
0.147 0.147 0.147
0.853 0.853 0.853
0.103 0.103 0.628
0.103 0.628 0.103
0.123 0.600 0.600
0.372 0.897 0.897
0.400 0.400 0.877
0.400 0.877 0.400
0.600 0.123 0.600
0.600 0.600 0.123
0.628 0.103 0.103
0.877 0.400 0.400
0.897 0.372 0.897
0.897 0.897 0.372
0.000 0.500 0.500
0.500 0.000 0.500
0.500 0.500 0.000
0.500 0.500 0.500
```

Properties
Calculated formation energy in eV/atom: 0.04
Volume in Å³/f.u.: 459.2
DOS at the Fermi energy in states/eV per atom: 0.399
Space-group type: R-3m
Magnetic moment in μB per atom: 0.000

Entry 2:
Compound: Ti3SnCl
Source: Alexandria via LeMat-Bulk
Functional: PBE
Structure: relaxed

The structure in POSCAR format:
```
Ti3SnCl
1.0
4.507 0.000 0.000
0.000 4.507 0.000
0.000 0.000 4.507
Ti Sn Cl
3 1 1
Direct
0.000 0.000 0.500
0.000 0.500 0.000
0.500 0.000 0.000
0.500 0.500 0.500
0.000 0.000 0.000
```

Properties
E_form (uncorrected) in eV per atom: -0.111
Volume in Å³/f.u.: 91.6
DOS at the Fermi energy in states/eV per atom: 1.594
Space-group type: Pm-3m
Magnetic moment in μB per atom: 0.294
Energy above the most stable polymorph in this dataset in meV per atom: 0